(1)
Material: HoFeGe3
Method: DFT, PBE
State: relaxed

Calculated values
- Formation energy: -382 meV/atom
- Space group: Pmn2_1
- Total energy: -57.6 eV for the cell shown

```
10
Lattice="6.0148 0.0000 0.0000 0.0000 5.4998 0.0000 0.0000 0.0000 5.5777" Properties=species:S:1:pos:R:3 pbc="T T T"
Ho 0.0000 0.7207 0.0000
Ho 3.0074 4.7791 2.7888
Fe 0.0000 3.3988 1.4004
Fe 3.0074 2.1011 4.1892
Ge 0.0000 5.0133 2.9768
Ge 1.4171 1.9293 2.5296
Ge 1.5903 3.5706 5.3184
Ge 3.0074 0.4866 0.1880
Ge 4.4245 3.5706 5.3184
Ge 4.5977 1.9293 2.5296
```

(2)
Material: Ho2Fe12Ge7
Method: DFT, PBE
State: relaxed

Calculated values
- Formation energy: -231 meV/atom
- Space group: P-6
- Total energy: -147.9 eV for the cell shown

```
21
Lattice="9.3712 0.0000 0.0000 -4.6856 8.1157 0.0000 0.0000 0.0000 3.9117" Properties=species:S:1:pos:R:3 pbc="T T T"
Ho 0.0000 0.0000 0.0000
Ho 0.0000 5.4105 1.9558
Fe -1.0641 2.4224 1.9558
Fe -2.4169 6.2317 0.0000
Fe 0.4972 2.9068 0.0000
Fe -2.0557 7.8261 1.9558
Fe 2.7026 1.3702 0.0000
Fe 3.2569 3.3882 1.9558
Fe 4.8085 1.1264 1.9558
Fe 1.9197 7.0929 0.0000
Fe 3.1198 5.9829 1.9558
Fe 4.5210 5.0901 0.0000
Fe 6.8333 1.6554 0.0000
Fe 5.9914 3.6011 1.9558
Ge -1.6908 3.9306 0.0000
Ge 1.3276 1.8036 1.9558
Ge -0.4362 7.6146 0.0000
Ge 2.1270 4.6861 0.0000
Ge 4.6856 2.7052 0.0000
Ge 7.1454 0.2479 1.9558
Ge 5.5838 6.0641 1.9558
```

(3)
Material: HoFe4Ge2
Method: DFT, PBE
State: relaxed

Calculated values
- Formation energy: -271 meV/atom
- Polymorph energy (0 for the lowest one): 0.0264 eV/atom
- Space group: Cmmm
- Total energy: -49.6 eV for the cell shown

```
7
Lattice="1.9066 -6.8681 0.0000 1.9066 6.8681 0.0000 0.0000 0.0000 3.8418" Properties=species:S:1:pos:R:3 pbc="T T T"
Ho 0.0000 0.0000 0.0000
Fe 1.9066 4.1622 1.9209
Fe 1.9066 2.7101 0.0000
Fe 1.9066 -2.7101 0.0000
Fe 1.9066 -4.1622 1.9209
Ge 1.9066 1.2792 1.9209
Ge 1.9066 -1.2792 1.9209
```

(4)
Material: HoFeGe2
Method: DFT, PBE
State: relaxed

Calculated values
- Formation energy: -514 meV/atom
- Space group: Pnma
- Total energy: -97.3 eV for the cell shown

```
16
Lattice="6.8223 0.0000 0.0000 0.0000 4.1459 0.0000 0.0000 0.0000 9.9646" Properties=species:S:1:pos:R:3 pbc="T T T"
Ho 1.2121 1.0365 1.2729
Ho 2.1990 3.1094 6.2552
Ho 4.6233 1.0365 3.7094
Ho 5.6101 3.1094 8.6917
Fe 0.1380 3.1094 3.8820
Fe 3.2731 1.0365 8.8643
Fe 3.5492 3.1094 1.1003
Fe 6.6843 1.0365 6.0826
Ge 0.8871 1.0365 8.1571
Ge 1.2477 1.0365 4.2527
Ge 2.1634 3.1094 9.2350
Ge 2.5241 3.1094 3.1748
Ge 4.2982 1.0365 6.7898
Ge 4.6589 1.0365 0.7296
Ge 5.5746 3.1094 5.7119
Ge 5.9352 3.1094 1.8075
```

(5)
Material: Ho4FeGe8
Method: DFT, PBE
State: relaxed

Calculated values
- Formation energy: -584 meV/atom
- Space group: Pmm2
- Total energy: -71.3 eV for the cell shown

```
13
Lattice="4.0061 0.0000 0.0000 0.0000 4.1321 0.0000 0.0000 0.0000 15.8209" Properties=species:S:1:pos:R:3 pbc="T T T"
Ho 0.0000 0.0000 0.0000
Ho 0.0000 2.0661 7.8171
Ho 2.0031 0.0000 12.5165
Ho 2.0031 2.0661 4.5968
Fe 0.0000 2.0661 11.1272
Ge 0.0000 0.0000 5.3388
Ge 0.0000 0.0000 10.0266
Ge 0.0000 2.0661 2.2650
Ge 0.0000 2.0661 13.4493
Ge 2.0031 0.0000 2.3328
Ge 2.0031 0.0000 7.0701
Ge 2.0031 2.0661 9.9923
Ge 2.0031 2.0661 15.1304
```

(6)
Material: HoFe4Ge
Method: DFT, PBE
State: relaxed

Calculated values
- Formation energy: -59 meV/atom
- Space group: F-43m
- Total energy: -43.4 eV for the cell shown

```
6
Lattice="0.0000 3.4894 3.4894 3.4894 0.0000 3.4894 3.4894 3.4894 0.0000" Properties=species:S:1:pos:R:3 pbc="T T T"
Ho 0.0000 0.0000 0.0000
Fe 2.6242 2.6242 2.6242
Fe 4.3546 4.3546 2.6242
Fe 4.3546 2.6242 4.3546
Fe 2.6242 4.3546 4.3546
Ge 5.2341 5.2341 5.2341
```

(7)
Material: HoFe4Ge2
Method: DFT, PBE
State: relaxed

Calculated values
- Formation energy: -297 meV/atom
- Polymorph energy (0 for the lowest one): 0.0000 eV/atom
- Space group: P4_2/mnm
- Total energy: -99.5 eV for the cell shown

```
14
Lattice="7.1922 0.0000 0.0000 0.0000 7.1922 0.0000 0.0000 0.0000 3.8624" Properties=species:S:1:pos:R:3 pbc="T T T"
Ho 0.0000 0.0000 0.0000
Ho 3.5961 3.5961 1.9312
Fe 0.6528 2.5652 1.9312
Fe 1.0309 4.2489 0.0000
Fe 2.5652 0.6528 1.9312
Fe 2.9433 6.1613 0.0000
Fe 4.2489 1.0309 0.0000
Fe 4.6270 6.5394 1.9312
Fe 6.1613 2.9433 0.0000
Fe 6.5394 4.6270 1.9312
Ge 1.5529 5.6393 1.9312
Ge 2.0432 2.0432 0.0000
Ge 5.1490 5.1490 0.0000
Ge 5.6393 1.5529 1.9312
```

(8)
Material: Ho6Fe2Ge
Method: DFT, PBE
State: relaxed

Calculated values
- Formation energy: -225 meV/atom
- Space group: Immm
- Total energy: -102.1 eV for the cell shown

```
18
Lattice="-4.6757 4.7118 4.9086 4.6757 -4.7118 4.9086 4.6757 4.7118 -4.9086" Properties=species:S:1:pos:R:3 pbc="T T T"
Ho 4.6757 2.7705 -2.6316
Ho 2.6290 1.7366 0.0000
Ho 6.7224 1.7366 0.0000
Ho 1.8801 4.7118 -1.7938
Ho 2.7955 0.0000 3.1148
Ho 0.0000 1.9413 2.2770
Ho 4.6757 2.7705 2.6316
Ho 1.8801 4.7118 1.7938
Ho 2.7955 0.0000 6.7024
Ho -2.0467 2.9752 4.9086
Ho 2.0467 2.9752 4.9086
Ho 0.0000 1.9413 7.5402
Fe 4.6757 0.0000 1.0763
Fe 0.0000 3.6055 0.0000
Fe 0.0000 5.8181 0.0000
Fe 0.0000 4.7118 3.8323
Ge 0.0000 0.0000 0.0000
Ge 0.0000 0.0000 4.9086
```

> Among the records above, which one has the lowest total energy?

Ho2Fe12Ge7